LaPr2Nd5Th | the Alexandria database | PBE | relaxed; final energy = -88.81 eV for the cell shown; volume = 35.70 Å³ per atom
1.0
2.9123 -10.2772 0.0000
2.9123 10.2772 0.0000
0.0000 0.0000 10.7366
La Pr Nd Th
2 4 10 2
Direct
0.0871 0.9129 0.5000
0.9129 0.0871 0.0000
0.3842 0.6158 0.3711
0.3842 0.6158 0.7811
0.6158 0.3842 0.2811
0.6158 0.3842 0.8711
0.0198 0.9802 0.7904
0.1142 0.8858 0.0750
0.2060 0.7940 0.7544
0.2232 0.7768 0.3684
0.4836 0.5164 0.0754
0.5164 0.4836 0.5754
0.7768 0.2232 0.8684
0.7940 0.2060 0.2544
0.8858 0.1142 0.5750
0.9802 0.0198 0.2904
0.3000 0.7000 0.0637
0.7000 0.3000 0.5637


PaZn6Pd6 | the Alexandria database | PBE | relaxed; final energy = -54.66 eV for the cell shown; volume = 15.71 Å³ per atom
1.0
-2.6173 4.3843 4.4490
2.6173 -4.3843 4.4490
2.6173 4.3843 -4.4490
Pa Zn Pd
1 6 6
Direct
0.0000 0.0000 0.0000
0.0000 0.0000 0.5000
0.0000 0.5000 0.0000
0.2476 0.7476 0.5000
0.5000 0.0000 0.0000
0.5000 0.5000 0.5000
0.7524 0.2524 0.5000
0.1735 0.5000 0.6735
0.3315 0.0000 0.3315
0.3396 0.3396 0.0000
0.6604 0.6604 0.0000
0.6685 0.0000 0.6685
0.8265 0.5000 0.3265


TiNiRuSe2 | the Alexandria database | PBE | relaxed; formation energy (no corrections) = 3.11 eV/f.u.; final energy = -26.81 eV for the cell shown; volume = 20.26 Å³ per atom
1.0
4.7965 0.0000 0.0000
0.0000 4.7965 0.0000
0.0000 0.0000 4.4023
Ti Ni Ru Se
1 1 1 2
Direct
0.0000 0.0000 0.0000
0.5000 0.5000 0.0000
0.5000 0.5000 0.5000
0.0000 0.5000 0.5000
0.5000 0.0000 0.5000


Sm3GaPd | the Alexandria database | PBE | relaxed; final energy = -98.26 eV for the cell shown; volume = 27.36 Å³ per atom
1.0
5.9905 -5.5619 0.0000
5.9905 5.5619 0.0000
-0.0244 0.0000 8.2118
Sm Ga Pd
12 4 4
Direct
0.0067 0.8065 0.5825
0.0757 0.4240 0.8022
0.1935 0.9933 0.9175
0.3043 0.4980 0.4171
0.4240 0.0757 0.3022
0.4980 0.3043 0.9171
0.5020 0.6957 0.0829
0.5760 0.9243 0.6978
0.6957 0.5020 0.5829
0.8065 0.0067 0.0825
0.9243 0.5760 0.1978
0.9933 0.1935 0.4175
0.1642 0.8358 0.2500
0.3404 0.6596 0.7500
0.6596 0.3404 0.2500
0.8358 0.1642 0.7500
0.1861 0.3031 0.1276
0.3031 0.1861 0.6276
0.6969 0.8139 0.3724
0.8139 0.6969 0.8724